! ZnCu (PBE-GGA, relaxed); values from VASP
&SYSTEM
  ibrav = 0, nat = 8, ntyp = 2
/
ATOMIC_SPECIES
Zn 65.41 Zn.upf
Cu 63.55 Cu.upf
ATOMIC_POSITIONS angstrom
Zn 0.418 1.062 0.653
Zn 1.857 3.186 3.237
Zn 2.712 1.062 1.960
Zn 4.151 3.186 4.544
Cu 0.371 1.062 3.261
Cu 1.905 3.186 0.647
Cu 2.664 1.062 4.550
Cu 4.198 3.186 1.936
CELL_PARAMETERS angstrom
4.601 0.000 0.000
0.000 4.248 0.000
-0.032 0.000 5.197
! Calculated total energy in eV/atom: -2.58

! Ac3Zn4Pd2 (PBE-GGA, relaxed); values from VASP
&SYSTEM
  ibrav = 0, nat = 9, ntyp = 3
/
ATOMIC_SPECIES
Ac 227.00 Ac.upf
Zn 65.41 Zn.upf
Pd 106.42 Pd.upf
ATOMIC_POSITIONS angstrom
Ac 0.000 0.000 0.000
Ac 2.844 0.000 2.906
Ac 6.017 0.000 5.631
Zn -0.494 0.000 3.260
Zn 0.659 0.000 8.059
Zn 8.202 0.000 0.478
Zn 9.355 0.000 5.278
Pd 2.579 0.000 6.197
Pd 6.283 0.000 2.340
CELL_PARAMETERS angstrom
5.770 -2.269 0.000
5.770 2.269 0.000
-2.678 0.000 8.537
! Calculated total energy in eV/atom: -3.64

! GdYGa2Ni4 (PBE-GGA, relaxed); values from VASP
&SYSTEM
  ibrav = 0, nat = 8, ntyp = 4
/
ATOMIC_SPECIES
Gd 157.25 Gd.upf
Y 88.91 Y.upf
Ga 69.72 Ga.upf
Ni 58.69 Ni.upf
ATOMIC_POSITIONS angstrom
Gd 0.000 0.000 0.000
Y 0.000 2.398 4.480
Ga 2.077 1.199 2.256
Ga 2.077 1.199 6.704
Ni 0.000 0.000 2.796
Ni 0.000 0.000 6.164
Ni 0.000 2.398 1.694
Ni 0.000 2.398 7.266
CELL_PARAMETERS angstrom
4.154 0.000 0.000
-2.077 3.597 0.000
0.000 0.000 8.960
! Calculated total energy in eV/atom: -5.49